[1]
Ca2LaAu | the Alexandria database | PBE | relaxed; polymorph energy (0 for the lowest one) = 80 meV per atom; symmetry = No. 44; ΔE_f = -337 meV per atom; energy = -3.389 eV/atom; magnetic moment = 0.000 μB per atom; density of states at the Fermi level = 8.8 states/eV/cell
1.0
3.8399 0.0000 0.0000
0.0000 5.7182 0.0000
0.0000 0.0000 11.8928
Ca La Au
4 2 2
direct
0.0000 0.0000 0.0000
0.0000 0.5000 0.1964
0.5000 0.0000 0.6964
0.5000 0.5000 0.5000
0.0000 0.5000 0.8034
0.5000 0.0000 0.3034
0.0000 0.0000 0.5003
0.5000 0.5000 0.0003

=====

[2]
Ca2LaAu | the Alexandria database | PBE | relaxed; polymorph energy (0 for the lowest one) = 13 meV per atom; symmetry = No. 11; ΔE_f = -403 meV per atom; energy = -3.455 eV/atom; magnetic moment = 0.060 μB per atom; density of states at the Fermi level = 11.2 states/eV/cell
1.0
3.9865 0.0000 0.0000
0.0000 10.3337 0.0000
-1.9883 0.0000 6.4602
Ca La Au
4 2 2
direct
0.1401 0.0660 0.2799
0.1401 0.4340 0.2799
0.8599 0.5660 0.7201
0.8599 0.9340 0.7201
0.4261 0.2500 0.8515
0.5739 0.7500 0.1485
0.2507 0.7500 0.5021
0.7493 0.2500 0.4979

=====

[3]
Ca2LaAu | the Alexandria database | PBE | relaxed; polymorph energy (0 for the lowest one) = 325 meV per atom; symmetry = No. 12; ΔE_f = -91 meV per atom; energy = -3.143 eV/atom; magnetic moment = 0.000 μB per atom; density of states at the Fermi level = 9.2 states/eV/cell
1.0
6.7254 0.0000 0.0000
0.0000 11.6443 0.0000
-1.7211 0.0000 3.2108
Ca La Au
4 2 2
direct
0.2500 0.2500 0.0000
0.2500 0.7500 0.0000
0.7500 0.2500 0.0000
0.7500 0.7500 0.0000
0.0000 0.0000 0.5000
0.5000 0.5000 0.5000
0.0000 0.5000 0.5000
0.5000 0.0000 0.5000

=====

[4]
Ca2LaAu | the Alexandria database | PBE | relaxed; polymorph energy (0 for the lowest one) = 35 meV per atom; symmetry = No. 99; ΔE_f = -381 meV per atom; energy = -3.433 eV/atom; magnetic moment = 0.023 μB per atom; density of states at the Fermi level = 5.9 states/eV/cell
1.0
3.7349 0.0000 0.0000
0.0000 3.7349 0.0000
0.0000 0.0000 9.6268
Ca La Au
2 1 1
direct
0.0000 0.0000 0.0000
0.5000 0.5000 0.3142
0.0000 0.0000 0.6291
0.5000 0.5000 0.8158

=====

What did the second record say?
Ca2LaAu | the Alexandria database | PBE | relaxed; polymorph energy (0 for the lowest one) = 13 meV per atom; symmetry = No. 11; ΔE_f = -403 meV per atom; energy = -3.455 eV/atom; magnetic moment = 0.060 μB per atom; density of states at the Fermi level = 11.2 states/eV/cell
1.0
3.9865 0.0000 0.0000
0.0000 10.3337 0.0000
-1.9883 0.0000 6.4602
Ca La Au
4 2 2
direct
0.1401 0.0660 0.2799
0.1401 0.4340 0.2799
0.8599 0.5660 0.7201
0.8599 0.9340 0.7201
0.4261 0.2500 0.8515
0.5739 0.7500 0.1485
0.2507 0.7500 0.5021
0.7493 0.2500 0.4979